First-principles (PBE) data for crystalline LaGaSCl2 at its relaxed geometry, as listed in the Alexandria database.

Cell lengths 5.5911, 5.5911, 5.5318 Å; angles 90.00, 90.00, 90.00 degrees
Positions (direct):
1 Cl 0.5000 0.0000 0.0000
2 Cl 0.0000 0.5000 0.0000
3 Ga 0.5000 0.5000 0.5000
4 La 0.0000 0.0000 0.0000
5 S 0.0000 0.0000 0.5000

- E_form (uncorrected) (kJ/mol of formula units) = -682
- magnetic moment (Bohr magnetons per cell) = 0.00
- VASP energy (eV per atom) = -4.568